(w)
DFT (PBE) results for an optimized crystal structure of Ta3C5.

CIF file:
```
data_Ta3C5
_chemical_formula_sum 'Ta6 C10'
_cell_length_a 6.623
_cell_length_b 4.324
_cell_length_c 6.991
_cell_angle_alpha 90.00
_cell_angle_beta 114.16
_cell_angle_gamma 90.00
_space_group_name_H-M_alt 'P 1 21/m 1'
_space_group_IT_number 11
_space_group_name_Hall '-P 2yb'
loop_
_atom_site_label
_atom_site_fract_x
_atom_site_fract_y
_atom_site_fract_z
Ta1 0.053 0.250 0.175
Ta2 0.273 0.250 0.767
Ta3 0.323 0.750 0.483
C1 0.045 0.750 0.177
C2 0.162 0.750 0.684
C3 0.334 0.250 0.481
C4 0.429 0.100 0.130
```

***

(x)
DFT (PBE) results for an optimized crystal structure of Ta3C5.

CIF file:
```
data_Ta3C5
_chemical_formula_sum 'Ta12 C20'
_cell_length_a 6.042
_cell_length_b 10.912
_cell_length_c 6.184
_cell_angle_alpha 90.00
_cell_angle_beta 117.91
_cell_angle_gamma 90.00
_space_group_name_H-M_alt 'C 1 m 1'
_space_group_IT_number 8
_space_group_name_Hall 'C -2y'
loop_
_atom_site_label
_atom_site_fract_x
_atom_site_fract_y
_atom_site_fract_z
Ta1 0.000 0.000 0.000
Ta2 0.091 0.252 0.818
Ta3 0.159 0.346 0.311
Ta4 0.328 0.000 0.620
C1 0.132 0.433 0.969
C2 0.243 0.173 0.177
C3 0.359 0.000 0.296
C4 0.373 0.176 0.450
C5 0.413 0.500 0.410
C6 0.482 0.429 0.657
```

***

Question: which arrangement is favored energetically? Ranking from most to least stable: (w), (x).

***

(w)
DFT (PBE) results for an optimized crystal structure of Ta5C.

CIF file:
```
data_Ta5C
_chemical_formula_sum 'Ta10 C2'
_cell_length_a 9.158
_cell_length_b 2.929
_cell_length_c 7.664
_cell_angle_alpha 90.00
_cell_angle_beta 105.67
_cell_angle_gamma 90.00
_space_group_name_H-M_alt 'C 1 m 1'
_space_group_IT_number 8
_space_group_name_Hall 'C -2y'
loop_
_atom_site_label
_atom_site_fract_x
_atom_site_fract_y
_atom_site_fract_z
Ta1 0.000 0.000 0.000
Ta2 0.091 0.000 0.417
Ta3 0.189 0.500 0.790
Ta4 0.282 0.500 0.214
Ta5 0.390 0.000 0.594
C1 0.282 0.000 0.003
```

***

(x)
DFT (PBE) results for an optimized crystal structure of Ta5C.

CIF file:
```
data_Ta5C
_chemical_formula_sum 'Ta5 C1'
_cell_length_a 4.9382
_cell_length_b 4.9382
_cell_length_c 4.7735
_cell_angle_alpha 90.00
_cell_angle_beta 90.00
_cell_angle_gamma 120.00
_space_group_name_H-M_alt 'P -6 2 m'
_space_group_IT_number 189
_space_group_name_Hall 'P -6 -2'
loop_
_atom_site_label
_atom_site_fract_x
_atom_site_fract_y
_atom_site_fract_z
Ta1 0.0000 0.6722 0.0000
Ta2 0.3333 0.6667 0.5000
C1 0.0000 0.0000 0.5000
```

***

(y)
DFT (PBE) results for an optimized crystal structure of Ta5C.

CIF file:
```
data_Ta5C
_chemical_formula_sum 'Ta10 C2'
_cell_length_a 3.222
_cell_length_b 12.609
_cell_length_c 4.920
_cell_angle_alpha 90.00
_cell_angle_beta 90.00
_cell_angle_gamma 90.00
_space_group_name_H-M_alt 'C m m m'
_space_group_IT_number 65
_space_group_name_Hall '-C 2 2'
loop_
_atom_site_label
_atom_site_fract_x
_atom_site_fract_y
_atom_site_fract_z
Ta1 0.000 0.000 0.000
Ta2 0.000 0.127 0.500
Ta3 0.000 0.331 0.000
C1 0.000 0.500 0.500
```

***

Question: which arrangement is favored energetically? Ranking from most to least stable: (w), (y), (x).

***

(w)
DFT (PBE) results for an optimized crystal structure of Ta5C.

CIF file:
```
data_Ta5C
_chemical_formula_sum 'Ta5 C1'
_cell_length_a 5.1845
_cell_length_b 5.1845
_cell_length_c 5.1242
_cell_angle_alpha 90.00
_cell_angle_beta 90.00
_cell_angle_gamma 120.00
_space_group_name_H-M_alt 'P 6/m m m'
_space_group_IT_number 191
_space_group_name_Hall '-P 6 2'
loop_
_atom_site_label
_atom_site_fract_x
_atom_site_fract_y
_atom_site_fract_z
Ta1 0.0000 0.5000 0.0000
Ta2 0.3333 0.6667 0.5000
C1 0.0000 0.0000 0.5000
```

***

(x)
DFT (PBE) results for an optimized crystal structure of Ta5C.

CIF file:
```
data_Ta5C
_chemical_formula_sum 'Ta20 C4'
_cell_length_a 7.623
_cell_length_b 7.623
_cell_length_c 7.623
_cell_angle_alpha 90.00
_cell_angle_beta 90.00
_cell_angle_gamma 90.00
_space_group_name_H-M_alt 'F -4 3 m'
_space_group_IT_number 216
_space_group_name_Hall 'F -4 2 3'
loop_
_atom_site_label
_atom_site_fract_x
_atom_site_fract_y
_atom_site_fract_z
Ta1 0.000 0.000 0.000
Ta2 0.127 0.127 0.627
C1 0.250 0.250 0.250
```

***

(y)
DFT (PBE) results for an optimized crystal structure of Ta5C.

CIF file:
```
data_Ta5C
_chemical_formula_sum 'Ta5 C1'
_cell_length_a 2.819
_cell_length_b 2.819
_cell_length_c 12.219
_cell_angle_alpha 90.00
_cell_angle_beta 90.00
_cell_angle_gamma 90.00
_space_group_name_H-M_alt 'P 4/m m m'
_space_group_IT_number 123
_space_group_name_Hall '-P 4 2'
loop_
_atom_site_label
_atom_site_fract_x
_atom_site_fract_y
_atom_site_fract_z
Ta1 0.000 0.000 0.000
Ta2 0.000 0.000 0.391
Ta3 0.500 0.500 0.192
C1 0.500 0.500 0.500
```

***

Question: which arrangement is favored energetically? Ranking from most to least stable: (y), (x), (w).

***

(w)
DFT (PBE) results for an optimized crystal structure of TaC4.

CIF file:
```
data_TaC4
_chemical_formula_sum 'Ta1 C4'
_cell_length_a 4.186
_cell_length_b 4.186
_cell_length_c 4.186
_cell_angle_alpha 90.00
_cell_angle_beta 90.00
_cell_angle_gamma 90.00
_space_group_name_H-M_alt 'P m -3 m'
_space_group_IT_number 221
_space_group_name_Hall '-P 4 2 3'
loop_
_atom_site_label
_atom_site_fract_x
_atom_site_fract_y
_atom_site_fract_z
Ta1 0.000 0.000 0.000
C1 0.000 0.000 0.500
C2 0.500 0.500 0.500
```

***

(x)
DFT (PBE) results for an optimized crystal structure of TaC4.

CIF file:
```
data_TaC4
_chemical_formula_sum 'Ta2 C8'
_cell_length_a 5.213
_cell_length_b 5.213
_cell_length_c 3.395
_cell_angle_alpha 90.00
_cell_angle_beta 90.00
_cell_angle_gamma 90.00
_space_group_name_H-M_alt 'I 4/m'
_space_group_IT_number 87
_space_group_name_Hall '-I 4'
loop_
_atom_site_label
_atom_site_fract_x
_atom_site_fract_y
_atom_site_fract_z
Ta1 0.000 0.000 0.000
C1 0.091 0.393 0.500
```

***

Question: which arrangement is favored energetically? Ranking from most to least stable: (x), (w).

***

(w)
DFT (PBE) results for an optimized crystal structure of TaC4.

CIF file:
```
data_TaC4
_chemical_formula_sum 'Ta2 C8'
_cell_length_a 4.943
_cell_length_b 4.943
_cell_length_c 4.943
_cell_angle_alpha 90.00
_cell_angle_beta 90.00
_cell_angle_gamma 90.00
_space_group_name_H-M_alt 'I m -3 m'
_space_group_IT_number 229
_space_group_name_Hall '-I 4 2 3'
loop_
_atom_site_label
_atom_site_fract_x
_atom_site_fract_y
_atom_site_fract_z
Ta1 0.000 0.000 0.000
C1 0.250 0.250 0.250
```

***

(x)
DFT (PBE) results for an optimized crystal structure of TaC4.

CIF file:
```
data_TaC4
_chemical_formula_sum 'Ta1 C4'
_cell_length_a 2.8447
_cell_length_b 2.8447
_cell_length_c 6.3797
_cell_angle_alpha 90.00
_cell_angle_beta 90.00
_cell_angle_gamma 120.00
_space_group_name_H-M_alt 'P -3 m 1'
_space_group_IT_number 164
_space_group_name_Hall '-P 3 2"'
loop_
_atom_site_label
_atom_site_fract_x
_atom_site_fract_y
_atom_site_fract_z
Ta1 0.0000 0.0000 0.0000
C1 0.3333 0.6667 0.2300
C2 0.3333 0.6667 0.4535
```

***

Question: which arrangement is favored energetically? Ranking from most to least stable: (x), (w).

***

(w)
DFT (PBE) results for an optimized crystal structure of Ta2C3.

CIF file:
```
data_Ta2C3
_chemical_formula_sum 'Ta6 C9'
_cell_length_a 3.2126
_cell_length_b 3.2126
_cell_length_c 24.7250
_cell_angle_alpha 90.00
_cell_angle_beta 90.00
_cell_angle_gamma 120.00
_space_group_name_H-M_alt 'R -3 m'
_space_group_IT_number 166
_space_group_name_Hall '-R 3 2"'
loop_
_atom_site_label
_atom_site_fract_x
_atom_site_fract_y
_atom_site_fract_z
Ta1 0.0000 0.0000 0.1125
C1 0.0000 0.0000 0.2616
C2 0.0000 0.0000 0.5000
```

***

(x)
DFT (PBE) results for an optimized crystal structure of Ta2C3.

CIF file:
```
data_Ta2C3
_chemical_formula_sum 'Ta2 C3'
_cell_length_a 3.8156
_cell_length_b 3.8156
_cell_length_c 4.4592
_cell_angle_alpha 90.00
_cell_angle_beta 90.00
_cell_angle_gamma 120.00
_space_group_name_H-M_alt 'P -3 m 1'
_space_group_IT_number 164
_space_group_name_Hall '-P 3 2"'
loop_
_atom_site_label
_atom_site_fract_x
_atom_site_fract_y
_atom_site_fract_z
Ta1 0.3333 0.6667 0.2633
C1 0.0000 0.0000 0.5000
C2 0.3333 0.6667 0.7742
```

***

(y)
DFT (PBE) results for an optimized crystal structure of Ta2C3.

CIF file:
```
data_Ta2C3
_chemical_formula_sum 'Ta16 C24'
_cell_length_a 10.289
_cell_length_b 11.768
_cell_length_c 3.645
_cell_angle_alpha 90.00
_cell_angle_beta 90.00
_cell_angle_gamma 90.00
_space_group_name_H-M_alt 'F d d 2'
_space_group_IT_number 43
_space_group_name_Hall 'F 2 -2d'
loop_
_atom_site_label
_atom_site_fract_x
_atom_site_fract_y
_atom_site_fract_z
Ta1 0.066 0.168 0.000
C1 0.000 0.000 0.468
C2 0.123 0.002 0.252
```

***

Question: which arrangement is favored energetically? Ranking from most to least stable: (y), (x), (w).